Record 1
## NbP4S10Cl5 (PBE)

Data for crystalline NbP4S10Cl5 at its relaxed geometry.

magnetic moment: 0.00 Bohr magnetons per cell
uncorrected energy: -4.58 eV per atom
ρ: 2.270 g/cm3

a b c (Å): 9.702 11.038 11.632
angles (deg): 71.31 68.11 67.63
Space group P-1 (No. 2)
Asymmetric unit:
Nb: 0.044 0.133 0.337 x2
P: 0.012 0.328 0.763 x2
P: 0.303 0.045 0.840 x2
P: 0.308 0.356 0.842 x2
P: 0.385 0.271 0.559 x2
S: 0.064 0.123 0.852 x2
S: 0.068 0.433 0.854 x2
S: 0.146 0.349 0.570 x2
S: 0.206 0.600 0.226 x2
S: 0.349 0.859 0.923 x2
S: 0.357 0.452 0.926 x2
S: 0.358 0.151 0.931 x2
S: 0.436 0.065 0.648 x2
S: 0.442 0.376 0.650 x2
S: 0.496 0.709 0.617 x2
Cl: 0.078 0.785 0.818 x2
Cl: 0.135 0.710 0.542 x2
Cl: 0.140 0.013 0.536 x2
Cl: 0.212 0.944 0.256 x2
Cl: 0.228 0.243 0.259 x2

Record 2
## ErN2 (PBE)

Data for crystalline ErN2 at its relaxed geometry.

magnetic moment: 5.96 Bohr magnetons per cell
uncorrected energy: -6.58 eV per atom
ρ: 6.668 g/cm3

a b c (Å): 5.097 5.097 3.744
angles (deg): 90.00 90.00 90.00
Space group P4_2/mnm (No. 136)
Asymmetric unit:
Er: 0.000 0.000 0.000 x2
N: 0.185 0.185 0.500 x4

Record 3
## ZnInPb (PBE)

Data for crystalline ZnInPb at its relaxed geometry.

uncorrected energy: -2.44 eV per atom
ρ: 8.290 g/cm3

a b c (Å): 6.221 4.281 11.655
angles (deg): 90.00 90.00 90.00
Space group Pnma (No. 62)
Asymmetric unit:
Zn: 0.093 0.250 0.234 x4
In: 0.183 0.250 0.854 x4
Pb: 0.191 0.250 0.562 x4

Look up the ρ of the first one.
2.270 g/cm3